An optimized crystal structure of CsAgPbF6. Source: the Alexandria database, functional PBE-GGA.

abc: 6.2535 10.9727 6.0700
angles: 90.00 90.44 90.00
Space group C2 (No. 5)
Inequivalent atoms, fractional coordinates:
Cs 0.0000 0.0000 0.0000 [2 per cell]
Ag 0.0000 0.3359 0.5000 [2 per cell]
Pb 0.0000 0.6681 0.5000 [2 per cell]
F 0.1231 0.5252 0.3045 [4 per cell]
F 0.1555 0.8015 0.3061 [4 per cell]
F 0.2219 0.1789 0.3012 [4 per cell]

Values from the calculation:
- E_form (uncorrected): -2013.3 meV per atom
- Size of the total moment: 0.3 μB/cell
- Final energy: -73.521 eV for the cell shown



An optimized crystal structure of Cs4AgPd3F12. Source: the Alexandria database, functional PBE-GGA.

abc: 8.9203 8.9203 8.9203
angles: 90.00 90.00 90.00
Space group Im-3m (No. 229)
Inequivalent atoms, fractional coordinates:
Cs 0.2500 0.2500 0.2500 [8 per cell]
Ag 0.0000 0.0000 0.0000 [2 per cell]
Pd 0.0000 0.0000 0.5000 [6 per cell]
F 0.0000 0.0000 0.2700 [12 per cell]
F 0.0000 0.2500 0.5000 [12 per cell]

Values from the calculation:
- E_form (uncorrected): -1894.4 meV per atom
- Size of the total moment: 0.0 μB/cell
- Final energy: -164.375 eV for the cell shown



An optimized crystal structure of CsPmAgF6. Source: the Alexandria database, functional PBE-GGA.

abc: 8.0043 8.5536 12.1113
angles: 90.00 90.00 90.00
Space group Imma (No. 74)
Inequivalent atoms, fractional coordinates:
Cs 0.0000 0.2500 0.0456 [4 per cell]
Pm 0.0000 0.0000 0.5000 [4 per cell]
Ag 0.2500 0.2500 0.7500 [4 per cell]
F 0.0000 0.2500 0.4317 [4 per cell]
F 0.0000 0.2500 0.7895 [4 per cell]
F 0.2178 0.0650 0.6102 [16 per cell]

Values from the calculation:
- E_form (uncorrected): -2776.8 meV per atom
- Size of the total moment: 0.0 μB/cell
- Final energy: -178.700 eV for the cell shown



- Which of these has the lowest E_form (uncorrected)?
  CsPmAgF6



- Among the records above, which one has the highest final energy?
  CsAgPbF6



- final energy of number 1 (CsAgPbF6)?
  -73.521 eV for the cell shown